No. 1
An optimized crystal structure of Ti3Os. Source: Alexandria via LeMat-Bulk, functional GGA-PBE.

Structure (extended XYZ):
```
4
Lattice="-1.832 -2.298 -0.543 1.209 -1.480 2.183 -5.519 3.170 5.204" Properties=species:S:1:pos:R:3 pbc="T T T"
Os -5.392 3.098 5.085
Ti -4.888 1.133 3.474
Ti -2.048 0.784 3.592
Ti -1.173 -1.394 1.632
```

Summary:
crystal system: orthorhombic
formation enthalpy at 0 K: 129.3 meV per atom
total magnetic moment: 0.0 μB/f.u.
V: 17.82 Å³/atom
space group: Pmm2 (25)

***

No. 2
An optimized crystal structure of RbCaZnPd2. Source: Alexandria via LeMat-Bulk, functional GGA-PBE.

Structure (extended XYZ):
```
5
Lattice="-3.262 2.235 3.030 -0.241 -4.455 3.026 3.758 1.695 2.796" Properties=species:S:1:pos:R:3 pbc="T T T"
Zn 0.000 0.000 0.000
Pd -1.631 1.117 1.515
Pd 1.879 0.848 1.398
Rb -0.121 -2.227 1.513
Ca 0.127 -0.262 4.426
```

Summary:
crystal system: tetragonal
formation enthalpy at 0 K: 209.6 meV per atom
total magnetic moment: 0.0 μB/f.u.
V: 26.75 Å³/atom
space group: P4/mmm (123)

***

No. 3
An optimized crystal structure of RbRe2N2. Source: Alexandria via LeMat-Bulk, functional GGA-PBE.

Structure (extended XYZ):
```
10
Lattice="8.441 0.000 0.000 0.000 8.441 0.000 0.000 0.000 2.716" Properties=species:S:1:pos:R:3 pbc="T T T"
N 5.053 0.832 0.000
N 7.609 5.053 0.000
N 3.388 7.609 0.000
N 0.832 3.388 0.000
Re 5.065 7.597 1.358
Re 7.597 3.376 1.358
Re 3.376 0.844 1.358
Re 0.844 5.065 1.358
Rb 4.221 4.221 0.000
Rb 0.000 0.000 0.000
```

Summary:
crystal system: tetragonal
total magnetic moment: 0.0 μB/f.u.
V: 19.35 Å³/atom
space group: P4/mbm (127)
uncorrected formation energy: 7.197 eV per formula unit

***

No. 4
An optimized crystal structure of MnPH2. Source: Alexandria via LeMat-Bulk, functional GGA-PBE.

Structure (extended XYZ):
```
4
Lattice="2.666 0.000 0.000 0.000 3.713 0.000 0.000 0.000 3.653" Properties=species:S:1:pos:R:3 pbc="T T T"
H 1.333 1.857 1.393
H 1.333 1.857 2.260
Mn 1.333 0.000 1.827
P 0.000 0.000 0.000
```

Summary:
crystal system: orthorhombic
calculated total energy: -20.66 eV for the cell shown
total magnetic moment: 0.7 μB/f.u.
V: 9.04 Å³/atom
space group: Pmmm (47)

***

No. 5
An optimized crystal structure of Cu2TcNi. Source: Alexandria via LeMat-Bulk, functional GGA-PBE.

Structure (extended XYZ):
```
4
Lattice="4.594 0.056 0.000 1.665 4.282 0.000 -3.129 -2.169 2.571" Properties=species:S:1:pos:R:3 pbc="T T T"
Cu 0.000 0.000 0.000
Cu 3.129 2.169 0.000
Tc 2.297 0.028 1.286
Ni 0.832 2.141 1.286
```

Summary:
crystal system: tetragonal
formation enthalpy at 0 K: 293.3 meV per atom
total magnetic moment: 2.5 μB/f.u.
V: 12.59 Å³/atom
space group: I4/mmm (139)

***

No. 6
An optimized crystal structure of CsTeI2F. Source: Alexandria via LeMat-Bulk, functional GGA-PBE.

Structure (extended XYZ):
```
5
Lattice="6.382 0.000 0.000 0.000 6.382 0.000 0.000 0.000 4.660" Properties=species:S:1:pos:R:3 pbc="T T T"
Te 0.000 0.000 0.000
I 3.191 0.000 0.000
I 0.000 3.191 0.000
F 0.000 0.000 2.330
Cs 3.191 3.191 2.330
```

Summary:
crystal system: tetragonal
total magnetic moment: 0.0 μB/f.u.
V: 37.96 Å³/atom
space group: P4/mmm (123)
uncorrected formation energy: -5.296 eV per formula unit

***

No. 7
An optimized crystal structure of Li4DyHo3Se8. Source: Alexandria via LeMat-Bulk, functional GGA-PBE.

Structure (extended XYZ):
```
16
Lattice="8.115 0.000 0.000 0.000 8.012 -0.082 -4.058 -4.053 5.739" Properties=species:S:1:pos:R:3 pbc="T T T"
Li 0.000 0.000 0.000
Li 4.058 0.000 0.000
Li -2.029 -2.027 2.870
Li 2.029 -2.027 2.870
Ho 2.029 1.979 2.829
Ho 4.058 4.006 -0.041
Ho -2.029 1.979 2.829
Se 4.058 3.992 2.817
Se 2.023 -2.065 5.711
Se 2.035 6.023 -0.053
Se -2.023 -2.065 5.711
Se 6.080 6.023 -0.053
Se 4.058 -0.032 2.834
Se 0.000 -0.034 2.841
Se 0.000 3.990 2.824
Dy 0.000 4.006 -0.041
```

Summary:
crystal system: trigonal
total magnetic moment: 0.0 μB/f.u.
V: 23.15 Å³/atom
space group: R-3m (166)
uncorrected formation energy: -27.164 eV per formula unit

***

No. 8
An optimized crystal structure of TaAsIr. Source: Alexandria via LeMat-Bulk, functional GGA-PBE.

Structure (extended XYZ):
```
3
Lattice="-3.841 0.766 2.704 -1.864 -3.844 2.099 3.952 2.622 -0.402" Properties=species:S:1:pos:R:3 pbc="T T T"
Ir -1.867 -1.007 1.572
Ta -3.833 -2.067 3.227
As -0.006 -0.003 0.005
```

Summary:
crystal system: orthorhombic
formation enthalpy at 0 K: -129.0 meV per atom
total magnetic moment: 0.0 μB/f.u.
V: 16.28 Å³/atom
space group: Imm2 (44)

***

No. 9
An optimized crystal structure of Cd2MoP. Source: Alexandria via LeMat-Bulk, functional GGA-PBE.

Structure (extended XYZ):
```
4
Lattice="4.557 2.593 -0.360 -4.557 2.593 -0.360 0.000 0.416 3.019" Properties=species:S:1:pos:R:3 pbc="T T T"
Cd -2.279 1.297 -0.180
Cd 2.279 1.297 -0.180
P 0.000 2.801 1.150
Mo 0.000 0.208 1.509
```

Summary:
crystal system: orthorhombic
formation enthalpy at 0 K: 459.0 meV per atom
total magnetic moment: 0.0 μB/f.u.
V: 18.18 Å³/atom
space group: Cmmm (65)

***

No. 10
An optimized crystal structure of Nd4AuSeI2. Source: Alexandria via LeMat-Bulk, functional GGA-PBE.

Structure (extended XYZ):
```
8
Lattice="4.269 0.000 0.000 0.000 7.551 0.159 0.000 -2.624 7.732" Properties=species:S:1:pos:R:3 pbc="T T T"
Nd 0.000 4.961 1.689
Nd 0.000 -0.033 6.202
Nd 2.135 3.728 6.287
Nd 2.135 1.200 1.604
I 0.000 2.464 3.945
I 2.135 -1.312 3.866
Se 2.135 3.776 0.079
Au 0.000 0.000 0.000
```

Summary:
crystal system: monoclinic
total magnetic moment: 0.0 μB/f.u.
V: 31.38 Å³/atom
space group: P2/m (10)
uncorrected formation energy: -8.805 eV per formula unit

***

No. 11
An optimized crystal structure of CuBrCl2. Source: Alexandria via LeMat-Bulk, functional GGA-PBE.

Structure (extended XYZ):
```
4
Lattice="-1.428 -3.157 2.472 5.246 -2.407 -0.043 4.611 0.595 3.424" Properties=species:S:1:pos:R:3 pbc="T T T"
Cu 5.421 -0.996 1.860
Br 6.180 -2.846 3.600
Cl 1.822 -2.045 2.105
Cl 9.792 -1.799 3.359
```

Summary:
crystal system: orthorhombic
total magnetic moment: 0.4 μB/f.u.
V: 26.05 Å³/atom
space group: Amm2 (38)
uncorrected formation energy: -0.281 eV per formula unit

***

No. 12
An optimized crystal structure of ScInCl4. Source: Alexandria via LeMat-Bulk, functional GGA-PBE.

Structure (extended XYZ):
```
12
Lattice="6.363 0.000 0.000 0.000 7.014 0.451 -3.182 -2.377 7.471" Properties=species:S:1:pos:R:3 pbc="T T T"
Cl 3.541 4.349 4.907
Cl 3.839 2.684 1.731
Cl 2.524 6.192 1.957
Cl 0.658 -1.554 5.965
Cl 0.359 3.795 3.241
Cl -0.658 1.953 6.191
Cl 2.822 0.842 4.681
Cl -0.359 0.288 3.015
In 4.907 5.261 0.338
In 1.456 1.754 0.113
Sc -1.591 2.319 3.961
Sc 1.591 -1.188 3.735
```

Summary:
crystal system: monoclinic
total magnetic moment: 0.0 μB/f.u.
V: 28.35 Å³/atom
space group: C2/c (15)
uncorrected formation energy: -9.990 eV per formula unit